1.
{
  "formula": "Tm3RhPb",
  "functional": "PBE",
  "state": "relaxed",
  "e_form_ev_per_atom": -0.537,
  "magmom_total_mub_per_fu": 0.000,
  "space_group": "Fmmm (69)",
  "lattice": [[0.000, 4.900, 8.282], [3.223, 0.000, 8.282], [3.223, 4.900, 0.000]],
  "species": ["Tm", "Tm", "Tm", "Tm", "Tm", "Tm", "Rh", "Rh", "Pb", "Pb"],
  "fractional_positions": [[0.195, 0.195, 0.805], [0.200, 0.558, 0.442], [0.442, 0.800, 0.200], [0.558, 0.200, 0.800], [0.800, 0.442, 0.558], [0.805, 0.805, 0.195], [0.250, 0.250, 0.250], [0.750, 0.750, 0.750], [0.225, 0.775, 0.775], [0.775, 0.225, 0.225]]
}

---

2.
{
  "formula": "Tm4RhPb",
  "functional": "PBE",
  "state": "relaxed",
  "e_form_ev_per_atom": -0.424,
  "magmom_total_mub_per_fu": 0.000,
  "space_group": "C2/m (12)",
  "lattice": [[4.298, -2.477, 0.000], [4.298, 2.477, 0.000], [-2.856, 0.000, 8.096]],
  "species": ["Tm", "Tm", "Tm", "Tm", "Rh", "Pb"],
  "fractional_positions": [[0.112, 0.112, 0.334], [0.365, 0.365, 0.093], [0.635, 0.635, 0.907], [0.888, 0.888, 0.666], [0.000, 0.000, 0.000], [0.500, 0.500, 0.500]]
}